[1]
This record from Alexandria via LeMat-Bulk describes crystalline Nb3FeRe at its relaxed geometry. The functional is PBEsol.

Values from the calculation:
Final energy   -9.36 eV per atom
Total magnetization   0.634 μB per atom

Cell and atoms, written as CIF:
```
data_Nb3FeRe
_chemical_formula_sum 'Nb3 Fe1 Re1'
_symmetry_space_group_name_H-M 'P 1'
_symmetry_Int_Tables_number 1
_cell_length_a 4.785
_cell_length_b 4.785
_cell_length_c 4.785
_cell_angle_alpha 90.00
_cell_angle_beta 90.00
_cell_angle_gamma 90.00
loop_
_symmetry_equiv_pos_as_xyz
'x,y,z'
loop_
_atom_site_label
_atom_site_type_symbol
_atom_site_fract_x
_atom_site_fract_y
_atom_site_fract_z
Re1 Re 0.000 0.000 0.000
Nb1 Nb 0.000 0.500 0.000
Nb2 Nb 0.000 0.000 0.500
Nb3 Nb 0.500 0.000 0.000
Fe1 Fe 0.500 0.500 0.500
```

[2]
This record from Alexandria via LeMat-Bulk describes crystalline Nb2Fe2Rh at its relaxed geometry. The functional is PBEsol.

Values from the calculation:
Final energy   -9.37 eV per atom
Total magnetization   0.264 μB per atom

Cell and atoms, written as CIF:
```
data_Nb2Fe2Rh
_chemical_formula_sum 'Nb2 Fe2 Rh1'
_symmetry_space_group_name_H-M 'P 1'
_symmetry_Int_Tables_number 1
_cell_length_a 3.036
_cell_length_b 3.036
_cell_length_c 8.181
_cell_angle_alpha 100.69
_cell_angle_beta 100.69
_cell_angle_gamma 90.00
loop_
_symmetry_equiv_pos_as_xyz
'x,y,z'
loop_
_atom_site_label
_atom_site_type_symbol
_atom_site_fract_x
_atom_site_fract_y
_atom_site_fract_z
Nb1 Nb 0.388 0.388 0.776
Nb2 Nb 0.612 0.612 0.224
Rh1 Rh 0.000 0.000 0.000
Fe1 Fe 0.250 0.750 0.500
Fe2 Fe 0.750 0.250 0.500
```

[3]
This record from Alexandria via LeMat-Bulk describes crystalline NbFeRu2 at its relaxed geometry. The functional is PBEsol.

Values from the calculation:
Final energy   -10.05 eV per atom
Total magnetization   1.136 μB per atom

Cell and atoms, written as CIF:
```
data_NbFeRu2
_chemical_formula_sum 'Nb1 Fe1 Ru2'
_symmetry_space_group_name_H-M 'P 1'
_symmetry_Int_Tables_number 1
_cell_length_a 4.317
_cell_length_b 4.317
_cell_length_c 4.317
_cell_angle_alpha 60.00
_cell_angle_beta 60.00
_cell_angle_gamma 60.00
loop_
_symmetry_equiv_pos_as_xyz
'x,y,z'
loop_
_atom_site_label
_atom_site_type_symbol
_atom_site_fract_x
_atom_site_fract_y
_atom_site_fract_z
Ru1 Ru 0.250 0.250 0.250
Ru2 Ru 0.750 0.750 0.750
Nb1 Nb 0.500 0.500 0.500
Fe1 Fe 0.000 0.000 0.000
```

[4]
This record from Alexandria via LeMat-Bulk describes crystalline Nb2FeRu at its relaxed geometry. The functional is PBEsol.

Values from the calculation:
Final energy   -10.27 eV per atom
Total magnetization   0.392 μB per atom

Cell and atoms, written as CIF:
```
data_Nb2FeRu
_chemical_formula_sum 'Nb2 Fe1 Ru1'
_symmetry_space_group_name_H-M 'P 1'
_symmetry_Int_Tables_number 1
_cell_length_a 4.389
_cell_length_b 4.389
_cell_length_c 4.389
_cell_angle_alpha 60.00
_cell_angle_beta 60.00
_cell_angle_gamma 60.00
loop_
_symmetry_equiv_pos_as_xyz
'x,y,z'
loop_
_atom_site_label
_atom_site_type_symbol
_atom_site_fract_x
_atom_site_fract_y
_atom_site_fract_z
Ru1 Ru 0.500 0.500 0.500
Nb1 Nb 0.250 0.250 0.250
Nb2 Nb 0.750 0.750 0.750
Fe1 Fe 0.000 0.000 0.000
```

[5]
This record from Alexandria via LeMat-Bulk describes crystalline NbFe3Ru at its relaxed geometry. The functional is PBEsol.

Values from the calculation:
Final energy   -8.11 eV per atom
Total magnetization   0.837 μB per atom

Cell and atoms, written as CIF:
```
data_NbFe3Ru
_chemical_formula_sum 'Nb1 Fe3 Ru1'
_symmetry_space_group_name_H-M 'P 1'
_symmetry_Int_Tables_number 1
_cell_length_a 4.294
_cell_length_b 4.294
_cell_length_c 4.294
_cell_angle_alpha 90.00
_cell_angle_beta 90.00
_cell_angle_gamma 90.00
loop_
_symmetry_equiv_pos_as_xyz
'x,y,z'
loop_
_atom_site_label
_atom_site_type_symbol
_atom_site_fract_x
_atom_site_fract_y
_atom_site_fract_z
Ru1 Ru 0.000 0.000 0.000
Nb1 Nb 0.500 0.500 0.500
Fe1 Fe 0.000 0.500 0.000
Fe2 Fe 0.000 0.000 0.500
Fe3 Fe 0.500 0.000 0.000
```

[6]
This record from Alexandria via LeMat-Bulk describes crystalline Nb2TlFeRu at its relaxed geometry. The functional is PBEsol.

Values from the calculation:
Final energy   -7.62 eV per atom
Total magnetization   0.000 μB per atom

Cell and atoms, written as CIF:
```
data_Nb2TlFeRu
_chemical_formula_sum 'Nb2 Tl1 Fe1 Ru1'
_symmetry_space_group_name_H-M 'P 1'
_symmetry_Int_Tables_number 1
_cell_length_a 4.438
_cell_length_b 4.438
_cell_length_c 4.720
_cell_angle_alpha 90.00
_cell_angle_beta 90.00
_cell_angle_gamma 90.00
loop_
_symmetry_equiv_pos_as_xyz
'x,y,z'
loop_
_atom_site_label
_atom_site_type_symbol
_atom_site_fract_x
_atom_site_fract_y
_atom_site_fract_z
Ru1 Ru 0.500 0.500 0.500
Tl1 Tl 0.000 0.000 0.500
Nb1 Nb 0.000 0.500 0.000
Nb2 Nb 0.500 0.000 0.000
Fe1 Fe 0.000 0.000 0.000
```

[7]
This record from Alexandria via LeMat-Bulk describes crystalline NbZn2FeRu at its relaxed geometry. The functional is PBEsol.

Values from the calculation:
Final energy   -4.81 eV per atom
Total magnetization   0.552 μB per atom

Cell and atoms, written as CIF:
```
data_NbZn2FeRu
_chemical_formula_sum 'Nb1 Zn2 Fe1 Ru1'
_symmetry_space_group_name_H-M 'P 1'
_symmetry_Int_Tables_number 1
_cell_length_a 4.202
_cell_length_b 4.753
_cell_length_c 4.753
_cell_angle_alpha 90.00
_cell_angle_beta 90.00
_cell_angle_gamma 90.00
loop_
_symmetry_equiv_pos_as_xyz
'x,y,z'
loop_
_atom_site_label
_atom_site_type_symbol
_atom_site_fract_x
_atom_site_fract_y
_atom_site_fract_z
Ru1 Ru 0.500 0.500 0.500
Nb1 Nb 0.000 0.000 0.000
Zn1 Zn 0.000 0.000 0.500
Zn2 Zn 0.000 0.500 0.000
Fe1 Fe 0.500 0.000 0.000
```

[8]
This record from Alexandria via LeMat-Bulk describes crystalline NbFeS3 at its relaxed geometry. The functional is PBEsol.

Values from the calculation:
Total magnetization   0.779 μB per atom
Formation energy from raw total energies   0.250 eV/atom

Cell and atoms, written as CIF:
```
data_NbFeS3
_chemical_formula_sum 'Nb1 Fe1 S3'
_symmetry_space_group_name_H-M 'P 1'
_symmetry_Int_Tables_number 1
_cell_length_a 4.736
_cell_length_b 4.736
_cell_length_c 4.736
_cell_angle_alpha 90.00
_cell_angle_beta 90.00
_cell_angle_gamma 90.00
loop_
_symmetry_equiv_pos_as_xyz
'x,y,z'
loop_
_atom_site_label
_atom_site_type_symbol
_atom_site_fract_x
_atom_site_fract_y
_atom_site_fract_z
S1 S 0.000 0.500 0.000
S2 S 0.000 0.000 0.500
S3 S 0.500 0.000 0.000
Nb1 Nb 0.000 0.000 0.000
Fe1 Fe 0.500 0.500 0.500
```

[9]
This record from Alexandria via LeMat-Bulk describes crystalline Nb2FeS4 at its relaxed geometry. The functional is PBEsol.

Values from the calculation:
Total magnetization   0.000 μB per atom
Formation energy from raw total energies   -0.998 eV/atom

Cell and atoms, written as CIF:
```
data_Nb2FeS4
_chemical_formula_sum 'Nb2 Fe1 S4'
_symmetry_space_group_name_H-M 'P 1'
_symmetry_Int_Tables_number 1
_cell_length_a 3.299
_cell_length_b 3.299
_cell_length_c 11.713
_cell_angle_alpha 90.00
_cell_angle_beta 90.00
_cell_angle_gamma 120.00
loop_
_symmetry_equiv_pos_as_xyz
'x,y,z'
loop_
_atom_site_label
_atom_site_type_symbol
_atom_site_fract_x
_atom_site_fract_y
_atom_site_fract_z
S1 S 0.667 0.333 0.125
S2 S 0.333 0.667 0.875
S3 S 0.333 0.667 0.601
S4 S 0.667 0.333 0.399
Nb1 Nb 0.000 0.000 0.741
Nb2 Nb 0.000 0.000 0.259
Fe1 Fe 0.000 0.000 0.500
```

[10]
This record from Alexandria via LeMat-Bulk describes crystalline NbFeS2 at its relaxed geometry. The functional is PBEsol.

Values from the calculation:
Total magnetization   0.367 μB per atom
Formation energy from raw total energies   -0.393 eV/atom

Cell and atoms, written as CIF:
```
data_NbFeS2
_chemical_formula_sum 'Nb1 Fe1 S2'
_symmetry_space_group_name_H-M 'P 1'
_symmetry_Int_Tables_number 1
_cell_length_a 4.212
_cell_length_b 4.212
_cell_length_c 4.212
_cell_angle_alpha 60.00
_cell_angle_beta 60.00
_cell_angle_gamma 60.00
loop_
_symmetry_equiv_pos_as_xyz
'x,y,z'
loop_
_atom_site_label
_atom_site_type_symbol
_atom_site_fract_x
_atom_site_fract_y
_atom_site_fract_z
S1 S 0.250 0.250 0.250
S2 S 0.750 0.750 0.750
Nb1 Nb 0.500 0.500 0.500
Fe1 Fe 0.000 0.000 0.000
```

| no. | ρ (g/cm³) |
| --- | --- |
| 1 | 7.9 |
| 2 | 9.1 |
| 3 | 10.2 |
| 4 | 9.5 |
| 5 | 7.6 |
| 6 | 9.8 |
| 7 | 6.7 |
| 8 | 3.8 |
| 9 | 5.6 |
| 10 | 6.7 |